[1]
Here is a relaxed CrSi2Ir crystal from Alexandria. Energies are from PBE-GGA.

```
4
Lattice="-1.4478 1.1358 -1.9692 -1.8721 -1.9201 0.2689 -3.5720 4.1889 5.0424" Properties=species:S:1:pos:R:3 pbc="T T T"
Si -2.6530 0.7724 0.5517
Si -3.4990 4.1033 4.9393
Cr -1.8030 2.1144 2.5452
Ir -4.2948 2.6979 2.8694
```

As for the crystal system: tetragonal. The space group is P4mm. As for the uncorrected formation energy: -0.043 eV/atom.

[2]
Here is a relaxed Pu6SiHg crystal from Alexandria. Energies are from PBE-GGA.

```
8
Lattice="-3.8283 2.3013 -0.2591 -0.5933 -1.4585 -4.1880 -4.6599 -7.3877 3.2330" Properties=species:S:1:pos:R:3 pbc="T T T"
Pu -4.5407 -3.2725 -0.6071
Pu -5.3028 -4.2216 2.2215
Pu -2.2108 0.4214 -2.2236
Pu -1.5679 -2.7447 -1.2120
Pu -3.1854 -0.8648 0.7524
Pu -3.6853 -6.1016 0.2570
Hg 0.0000 0.0000 0.0000
Si -2.3299 -3.6939 1.6165
```

As for the crystal system: tetragonal. The space group is P4/mmm. As for the uncorrected formation energy: -0.065 eV/atom.

[3]
Here is a relaxed KCdCo crystal from Alexandria. Energies are from PBE-GGA.

```
3
Lattice="5.2281 0.0000 0.0000 -2.6141 4.5277 0.0000 0.0000 0.0000 2.9506" Properties=species:S:1:pos:R:3 pbc="T T T"
K 0.0000 3.0185 1.9689
Co 2.6141 1.5092 0.4855
Cd 0.0000 0.0000 0.4963
```

As for the crystal system: trigonal. The value obtained for the energy relative to the lowest polymorph listed for this composition is 227 meV per atom. The space group is P3m1. The formation enthalpy at 0 K comes out at 0.760 eV per atom.